Density functional theory data (PBE-GGA) for a geometry-optimized Na4Hf3PdS8 structure.

Calculated values
- Fermi-level density of states: 0.5252 states/eV per atom
- Uncorrected energy: -5.87 eV per atom
- Raw formation energy: -20.52 eV/f.u.

Cell lengths 13.0314, 7.3843, 7.9368 Å; angles 90.00, 122.80, 90.00 degrees
Last column: nearest neighbours and their distance in Å.
Space group C2/m (No. 12)
Symmetry-distinct sites (fractional):
Na1 0.0000 0.0000 0.0000 [2 per cell]  6 S 2.76-2.85
Na2 0.0000 0.5000 0.0000 [2 per cell]  6 S 2.87-2.89
Na3 0.2500 0.2500 0.0000 [4 per cell]  6 S 2.83-2.92
Hf1 0.0000 0.0000 0.5000 [2 per cell]  6 S 2.56-2.61
Hf2 0.2500 0.2500 0.5000 [4 per cell]  6 S 2.55-2.60
Pd1 0.0000 0.5000 0.5000 [2 per cell]  6 S 2.59-2.75
S1 0.0142 0.2479 0.2872 [8 per cell]  2 Hf 2.56-2.58, 1 Pd 2.59, 2 Na 2.85-2.87
S2 0.2384 0.0000 0.7194 [4 per cell]  3 Hf 2.60-2.61, 3 Na 2.83-2.89
S3 0.2489 0.0000 0.2768 [4 per cell]  2 Hf 2.55, 1 Pd 2.75, 1 Na 2.76